# 1
# Mg2SiMo, optimized geometry, DFT PBEsol
# Total DFT energy (no corrections) = -19.85 eV per formula unit
# Total magnetic moment = 0.00 μB/f.u.
# Formation energy from raw total energies = 0.276 eV per atom
data_Mg2SiMo
_chemical_formula_sum 'Mg2 Si1 Mo1'
_cell_length_a 2.7627
_cell_length_b 4.4082
_cell_length_c 5.3624
_cell_angle_alpha 90.00
_cell_angle_beta 90.00
_cell_angle_gamma 90.00
_space_group_name_H-M_alt 'P m m m'
_space_group_IT_number 47
_space_group_name_Hall '-P 2 2'
loop_
_atom_site_label
_atom_site_fract_x
_atom_site_fract_y
_atom_site_fract_z
Mg1 0.0000 0.0000 0.2446
Si1 0.5000 0.5000 0.5000
Mo1 0.5000 0.5000 0.0000

=====

# 2
# Rb2NdAgCl6, optimized geometry, DFT PBEsol
# Total DFT energy (no corrections) = -40.16 eV per formula unit
# Total magnetic moment = 0.00 μB/f.u.
# Formation energy from raw total energies = -1.758 eV per atom
data_Rb2NdAgCl6
_chemical_formula_sum 'Rb8 Nd4 Ag4 Cl24'
_cell_length_a 10.6792
_cell_length_b 10.6792
_cell_length_c 10.6792
_cell_angle_alpha 90.00
_cell_angle_beta 90.00
_cell_angle_gamma 90.00
_space_group_name_H-M_alt 'F m -3 m'
_space_group_IT_number 225
_space_group_name_Hall '-F 4 2 3'
loop_
_atom_site_label
_atom_site_fract_x
_atom_site_fract_y
_atom_site_fract_z
Rb1 0.2500 0.2500 0.2500
Nd1 0.0000 0.0000 0.0000
Ag1 0.0000 0.0000 0.5000
Cl1 0.0000 0.0000 0.2517

=====

# 3
# ZrTl2Mo, optimized geometry, DFT PBEsol
# Total DFT energy (no corrections) = -24.72 eV per formula unit
# Total magnetic moment = 0.00 μB/f.u.
# ΔE_f = 349 meV per atom
data_ZrTl2Mo
_chemical_formula_sum 'Zr1 Tl2 Mo1'
_cell_length_a 3.0098
_cell_length_b 4.3784
_cell_length_c 6.0506
_cell_angle_alpha 90.00
_cell_angle_beta 90.00
_cell_angle_gamma 90.00
_space_group_name_H-M_alt 'P m m m'
_space_group_IT_number 47
_space_group_name_Hall '-P 2 2'
loop_
_atom_site_label
_atom_site_fract_x
_atom_site_fract_y
_atom_site_fract_z
Zr1 0.0000 0.0000 0.0000
Tl1 0.5000 0.5000 0.2599
Mo1 0.0000 0.0000 0.5000

=====

# 4
# MnAl3F, optimized geometry, DFT PBEsol
# Total DFT energy (no corrections) = -23.37 eV per formula unit
# Total magnetic moment = 1.31 μB/f.u.
# Formation energy from raw total energies = 0.118 eV per atom
data_MnAl3F
_chemical_formula_sum 'Mn1 Al3 F1'
_cell_length_a 4.5526
_cell_length_b 4.5526
_cell_length_c 4.5526
_cell_angle_alpha 90.00
_cell_angle_beta 90.00
_cell_angle_gamma 90.00
_space_group_name_H-M_alt 'P m -3 m'
_space_group_IT_number 221
_space_group_name_Hall '-P 4 2 3'
loop_
_atom_site_label
_atom_site_fract_x
_atom_site_fract_y
_atom_site_fract_z
Mn1 0.0000 0.0000 0.0000
Al1 0.0000 0.0000 0.5000
F1 0.5000 0.5000 0.5000

=====

# 5
# TiTlV4S8, optimized geometry, DFT PBEsol
# Total DFT energy (no corrections) = -99.51 eV per formula unit
# Total magnetic moment = 1.19 μB/f.u.
# Formation energy from raw total energies = -1.068 eV per atom
data_TiTlV4S8
_chemical_formula_sum 'Ti2 Tl2 V8 S16'
_cell_length_a 17.3737
_cell_length_b 3.2006
_cell_length_c 8.3757
_cell_angle_alpha 90.00
_cell_angle_beta 103.92
_cell_angle_gamma 90.00
_space_group_name_H-M_alt 'C 1 2/m 1'
_space_group_IT_number 12
_space_group_name_Hall '-C 2y'
loop_
_atom_site_label
_atom_site_fract_x
_atom_site_fract_y
_atom_site_fract_z
Ti1 0.0000 0.0000 0.0000
Tl1 0.0000 0.5000 0.5000
V1 0.1513 0.5000 0.9963
V2 0.2114 0.5000 0.3599
S1 0.0775 0.5000 0.1860
S2 0.0878 0.0000 0.8159
S3 0.1599 0.0000 0.5035
S4 0.2425 0.0000 0.1614

=====

# 6
# AlIr2Pb, optimized geometry, DFT PBEsol
# Total DFT energy (no corrections) = -27.40 eV per formula unit
# Total magnetic moment = 0.00 μB/f.u.
# ΔE_f = 83 meV per atom
# Distance to the lowest polymorph of the same formula = 14.9 meV per atom
data_AlIr2Pb
_chemical_formula_sum 'Al2 Ir4 Pb2'
_cell_length_a 3.1174
_cell_length_b 3.8731
_cell_length_c 11.3809
_cell_angle_alpha 90.00
_cell_angle_beta 90.00
_cell_angle_gamma 90.00
_space_group_name_H-M_alt 'I m m 2'
_space_group_IT_number 44
_space_group_name_Hall 'I 2 -2'
loop_
_atom_site_label
_atom_site_fract_x
_atom_site_fract_y
_atom_site_fract_z
Al1 0.0000 0.0000 0.0000
Ir1 0.0000 0.0000 0.4507
Ir2 0.0000 0.5000 0.6647
Pb1 0.0000 0.5000 0.2665

=====

# 7
# MgCuBr2Cl, optimized geometry, DFT PBEsol
# Total DFT energy (no corrections) = -14.25 eV per formula unit
# Total magnetic moment = 0.17 μB/f.u.
# Formation energy from raw total energies = -0.491 eV per atom
data_MgCuBr2Cl
_chemical_formula_sum 'Mg1 Cu1 Br2 Cl1'
_cell_length_a 5.1977
_cell_length_b 5.1977
_cell_length_c 4.6311
_cell_angle_alpha 90.00
_cell_angle_beta 90.00
_cell_angle_gamma 90.00
_space_group_name_H-M_alt 'P 4/m m m'
_space_group_IT_number 123
_space_group_name_Hall '-P 4 2'
loop_
_atom_site_label
_atom_site_fract_x
_atom_site_fract_y
_atom_site_fract_z
Mg1 0.0000 0.0000 0.0000
Cu1 0.5000 0.5000 0.5000
Br1 0.0000 0.5000 0.0000
Cl1 0.0000 0.0000 0.5000

=====

# 8
# Zn2CdAs, optimized geometry, DFT PBEsol
# Total DFT energy (no corrections) = -8.85 eV per formula unit
# Total magnetic moment = 0.00 μB/f.u.
# ΔE_f = 155 meV per atom
# Distance to the lowest polymorph of the same formula = 17.5 meV per atom
data_Zn2CdAs
_chemical_formula_sum 'Zn2 Cd1 As1'
_cell_length_a 4.1826
_cell_length_b 4.1826
_cell_length_c 3.9899
_cell_angle_alpha 90.00
_cell_angle_beta 90.00
_cell_angle_gamma 90.00
_space_group_name_H-M_alt 'P 4/m m m'
_space_group_IT_number 123
_space_group_name_Hall '-P 4 2'
loop_
_atom_site_label
_atom_site_fract_x
_atom_site_fract_y
_atom_site_fract_z
Zn1 0.0000 0.5000 0.0000
Cd1 0.0000 0.0000 0.5000
As1 0.5000 0.5000 0.5000